1.
5
Lattice="-0.792 0.611 5.854 2.943 -5.643 0.987 5.664 3.033 0.450" Properties=species:S:1:pos:R:3 comment="K2RbNaAu, single point on PBEsol structure, DFT SCAN" space_group="P4/mmm, No. 123" delta_e_f_kj_per_mol_atoms=-13.5 pbc="T T T"
Na -0.396 0.305 2.927
K 2.832 1.516 0.225
K 1.472 -2.822 0.494
Au 0.000 0.000 0.000
Rb 3.908 -1.000 3.646

***

2.
5
Lattice="6.458 0.000 0.000 0.000 6.458 0.000 0.000 0.000 6.458" Properties=species:S:1:pos:R:3 comment="K3NbAu, single point on PBEsol structure, DFT SCAN" space_group="Pm-3m, No. 221" delta_e_f_kj_per_mol_atoms=104.7 pbc="T T T"
Nb 0.000 0.000 0.000
Au 3.229 3.229 3.229
K 0.000 3.229 0.000
K 0.000 0.000 3.229
K 3.229 0.000 0.000

***

3.
5
Lattice="-2.059 4.049 -0.051 -3.996 -2.006 2.039 1.794 0.969 4.471" Properties=species:S:1:pos:R:3 comment="KNbOsAu2, single point on PBEsol structure, DFT SCAN" space_group="P4/mmm, No. 123" delta_e_f_kj_per_mol_atoms=251.6 pbc="T T T"
Os -1.029 2.025 -0.026
Nb -2.130 1.506 3.229
Au 0.897 0.485 2.235
Au -1.998 -1.003 1.019
K 0.000 0.000 0.000

***

4.
4
Lattice="2.891 0.000 0.000 1.445 2.504 0.000 1.445 0.835 9.842" Properties=species:S:1:pos:R:3 comment="KNiAu2, single point on PBEsol structure, DFT SCAN" space_group="R3m, No. 160" delta_e_f_kj_per_mol_atoms=39.9 de_polymorph_ev_per_fu=1.119 pbc="T T T"
Au 4.336 2.504 0.171
Au 4.336 2.504 7.606
K 2.891 1.669 4.802
Ni 1.445 0.835 2.184

***

5.
4
Lattice="2.952 0.000 0.000 0.000 2.952 0.000 0.000 0.000 7.806" Properties=species:S:1:pos:R:3 comment="KNi2Au, single point on PBEsol structure, DFT SCAN" space_group="P4mm, No. 99" delta_e_f_kj_per_mol_atoms=29.4 pbc="T T T"
Au 0.000 0.000 3.364
K 1.476 1.476 5.982
Ni 0.000 0.000 0.642
Ni 1.476 1.476 1.722

***

6.
4
Lattice="4.147 0.000 0.000 0.000 4.147 0.000 -2.073 -2.073 4.234" Properties=species:S:1:pos:R:3 comment="KNiAu2, single point on PBEsol structure, DFT SCAN" space_group="I-4m2, No. 119" delta_e_f_kj_per_mol_atoms=37.2 de_polymorph_ev_per_fu=1.009 pbc="T T T"
Au 0.000 0.000 0.000
Au 2.073 0.000 2.117
K 2.073 2.073 0.000
Ni 0.000 2.073 2.117

***

7.
4
Lattice="-0.403 0.746 -2.606 2.260 -3.178 -1.259 -5.983 -4.151 -0.262" Properties=species:S:1:pos:R:3 comment="KNiAu2, single point on PBEsol structure, DFT SCAN" space_group="Pmm2, No. 25" delta_e_f_kj_per_mol_atoms=12.9 de_polymorph_ev_per_fu=0.000 pbc="T T T"
Au -5.646 -3.917 -0.247
Au -0.275 -2.051 -1.985
K -3.019 -2.095 -0.132
Ni -4.160 -4.746 -2.155

***

8.
5
Lattice="-4.542 -0.914 -1.602 2.043 -4.204 -3.393 -0.742 -3.811 4.276" Properties=species:S:1:pos:R:3 comment="K2YNiAu, single point on PBEsol structure, DFT SCAN" space_group="P4/mmm, No. 123" delta_e_f_kj_per_mol_atoms=72.5 pbc="T T T"
Y -1.620 -4.464 -0.360
Ni -2.271 -0.457 -0.801
K -0.371 -1.906 2.138
K 1.021 -2.102 -1.697
Au 0.000 0.000 0.000